Computed, not measured: a geometry-optimized Ca2ZrAs structure at the PBE-GGA level of DFT.

```
data_Ca2ZrAs
_chemical_formula_sum 'Ca2 Zr1 As1'
_cell_length_a 5.1619
_cell_length_b 5.1619
_cell_length_c 5.1619
_cell_angle_alpha 60.00
_cell_angle_beta 60.00
_cell_angle_gamma 60.00
_space_group_name_H-M_alt 'P 1'
_space_group_IT_number 1
_space_group_name_Hall 'P 1'
loop_
_atom_site_label
_atom_site_type_symbol
_atom_site_fract_x
_atom_site_fract_y
_atom_site_fract_z
As1 As 0.5000 0.5000 0.5000
Ca1 Ca 0.0000 0.0000 0.0000
Ca2 Ca 0.2500 0.2500 0.2500
Zr1 Zr 0.7500 0.7500 0.7500
```

Results
For the formation energy, the calculation gives 0.08 eV/atom. The calculation puts the density of states at the Fermi level at 3.055 states/eV/cell.